Al3Pd2: relaxed, PBE. Values from VASP.

The structure in Quantum ESPRESSO input format:
```
&SYSTEM
  ibrav = 0, nat = 5, ntyp = 2
/
ATOMIC_SPECIES
Al 26.98 Al.upf
Pd 106.42 Pd.upf
ATOMIC_POSITIONS angstrom
Al 0.000 0.000 0.000
Al 3.787 -1.699 0.158
Al 1.339 -2.279 1.559
Pd 1.561 -1.781 -1.042
Pd 3.565 -2.197 2.758
CELL_PARAMETERS angstrom
-1.404 -2.870 2.802
1.959 -1.277 -3.548
4.571 0.168 2.463
```

Output
M_tot   0.0 μB/f.u.
Space-group type   P-3m1 (164)
N(E_F)   1.258 states/eV/f.u.
Energy relative to the elements   -769 meV per atom